YZn3Br | PBE-GGA | optimized geometry

Calculated values
Symmetry: No. 221
DFT total energy: -1.8330 eV/atom
DOS(E_F): 4.179 states/eV per cell
Energy relative to the lowest polymorph listed for this composition: 0.034 eV/atom
Volume: 26.82 Å³/atom
Formation energy from raw total energies: 0.5587 eV/atom

Unit cell a=5.1184 b=5.1184 c=5.1184 alpha=90.00 beta=90.00 gamma=90.00
Element x y z (fractional)
Y  0.0000  0.0000  0.0000
Zn  0.0000  0.5000  0.5000
Zn  0.5000  0.0000  0.5000
Zn  0.5000  0.5000  0.0000
Br  0.5000  0.5000  0.5000

=====

YZnBr2 | PBE-GGA | optimized geometry

Calculated values
Symmetry: No. 123
DFT total energy: -3.7070 eV/atom
DOS(E_F): 1.853 states/eV per cell
Energy relative to the lowest polymorph listed for this composition: 0.026 eV/atom
Volume: 30.40 Å³/atom
Formation energy from raw total energies: -0.9360 eV/atom

Unit cell a=3.5350 b=3.5350 c=9.7304 alpha=90.00 beta=90.00 gamma=90.00
Element x y z (fractional)
Y  0.0000  0.0000  0.0000
Zn  0.0000  0.0000  0.5000
Br  0.5000  0.5000  0.1750
Br  0.5000  0.5000  0.8250

=====

YZn3Br9 | PBE-GGA | optimized geometry

Calculated values
Symmetry: No. 9
DFT total energy: -3.0812 eV/atom
DOS(E_F): 0.000 states/eV per cell
Volume: 35.36 Å³/atom
Formation energy from raw total energies: -1.1319 eV/atom

Unit cell a=10.4469 b=10.4469 c=13.4291 alpha=123.98 beta=123.98 gamma=53.54
Element x y z (fractional)
Y  0.2283  0.7717  0.5000
Y  0.7717  0.2283  0.0000
Zn  0.0220  0.2579  0.8268
Zn  0.2579  0.0220  0.3268
Zn  0.2825  0.4328  0.6645
Zn  0.4328  0.2825  0.1645
Zn  0.6568  0.8022  0.2113
Zn  0.8022  0.6568  0.7113
Br  0.0813  0.2103  0.2024
Br  0.0894  0.9289  0.3238
Br  0.1666  0.4315  0.0251
Br  0.2103  0.0813  0.7024
Br  0.3023  0.6740  0.6925
Br  0.3831  0.4239  0.3686
Br  0.4239  0.3831  0.8686
Br  0.4315  0.1666  0.5251
Br  0.4600  0.7627  0.2248
Br  0.4993  0.9815  0.0812
Br  0.5305  0.7772  0.5553
Br  0.6740  0.3023  0.1925
Br  0.7627  0.4600  0.7248
Br  0.7772  0.5305  0.0553
Br  0.8440  0.8803  0.9197
Br  0.8803  0.8440  0.4197
Br  0.9289  0.0894  0.8238
Br  0.9815  0.4993  0.5812

=====

YZnBr3 | PBE-GGA | optimized geometry

Calculated values
Symmetry: No. 221
DFT total energy: -3.7435 eV/atom
DOS(E_F): 0.000 states/eV per cell
Energy relative to the lowest polymorph listed for this composition: 0.000 eV/atom
Volume: 35.50 Å³/atom
Formation energy from raw total energies: -1.1922 eV/atom

Unit cell a=5.6198 b=5.6198 c=5.6198 alpha=90.00 beta=90.00 gamma=90.00
Element x y z (fractional)
Y  0.0000  0.0000  0.0000
Zn  0.5000  0.5000  0.5000
Br  0.0000  0.0000  0.5000
Br  0.0000  0.5000  0.0000
Br  0.5000  0.0000  0.0000

=====

Q: What is the formation energy from raw total energies in the fourth record?
A: -1.1922 eV/atom

=====

Q: Which formula does entry 4 have?
A: YZnBr3

=====

Q: formation energy from raw total energies of number 1 (YZn3Br)?
A: 0.5587 eV/atom